Entry one
VASP calculation (PBE) on a geometry-optimized Nd12Ho7Sc structure.

Unit cell a=6.2019 b=11.5016 c=11.5016 alpha=116.84 beta=100.35 gamma=100.35
Fractional coordinates of all 20 atoms:
1 Ho 0.3597 0.2405 0.2404
2 Nd 0.5000 0.4127 0.5873
3 Nd 0.5800 0.6480 0.0000
4 Nd 0.4201 0.0000 0.3520
5 Sc 0.0000 0.0000 0.0000
6 Ho 0.1193 0.7596 0.0000
7 Nd 0.5000 0.5873 0.4127
8 Nd 0.9320 0.3520 0.3520
9 Ho 0.6403 0.7595 0.7596
10 Ho 0.8808 0.0000 0.2405
11 Ho 0.8807 0.2404 0.0000
12 Nd 0.0873 0.1746 0.5873
13 Ho 0.5000 0.0000 0.0000
14 Nd 0.0873 0.5873 0.1746
15 Nd 0.0680 0.6480 0.6480
16 Nd 0.5799 0.0000 0.6480
17 Nd 0.9127 0.8254 0.4127
18 Nd 0.4200 0.3520 0.0000
19 Nd 0.9127 0.4127 0.8254
20 Ho 0.1192 0.0000 0.7595



Entry two
VASP calculation (PBE) on a geometry-optimized Nd12Ho7Sc structure.

Unit cell a=9.3887 b=9.3887 c=9.3887 alpha=107.78 beta=107.78 gamma=107.78
Fractional coordinates of all 20 atoms:
1 Nd 0.3233 0.6179 0.7811
2 Nd 0.7811 0.3233 0.6179
3 Nd 0.6179 0.7811 0.3233
4 Sc 0.0000 0.0000 0.0000
5 Nd 0.0567 0.2949 0.4039
6 Ho 0.8991 0.3144 0.0057
7 Ho 0.3144 0.0057 0.8991
8 Ho 0.1009 0.6856 0.9943
9 Nd 0.7051 0.5961 0.9433
10 Nd 0.6767 0.3821 0.2189
11 Ho 0.9943 0.1009 0.6856
12 Nd 0.4039 0.0567 0.2949
13 Nd 0.2949 0.4039 0.0567
14 Ho 0.0057 0.8991 0.3144
15 Nd 0.5961 0.9433 0.7051
16 Ho 0.5000 0.5000 0.5000
17 Nd 0.3821 0.2189 0.6767
18 Nd 0.2189 0.6767 0.3821
19 Nd 0.9433 0.7051 0.5961
20 Ho 0.6856 0.9943 0.1009



Structures ranked by computed energy, the most stable listed first: entry two, entry one.